1.
First-principles (PBE) data for a relaxed structure of Tb3ScPb3, as listed in the Alexandria database.

Cell: 7.728 7.728 7.940 Å, 90.83 90.83 113.56°
Sites, in units of the cell vectors:
Tb  0.775  0.225  0.000
Tb  0.225  0.775  0.000
Sc  0.707  0.707  0.919
Tb  0.844  0.156  0.500
Pb  0.948  0.948  0.198
Pb  0.847  0.500  0.697
Pb  0.500  0.153  0.303
Tb  0.625  0.625  0.353
Pb  0.153  0.500  0.303
Tb  0.156  0.844  0.500
Sc  0.293  0.293  0.081
Tb  0.375  0.375  0.647
Pb  0.052  0.052  0.802
Pb  0.500  0.847  0.697

Its crystal system is monoclinic. The total magnetization comes out at 0.0 μB/cell. As for the space group: C2/m (12).

---

2.
First-principles (PBE) data for a relaxed structure of Tb3ScPb2, as listed in the Alexandria database.

Cell: 6.409 6.390 9.588 Å, 109.47 109.53 90.00°
Sites, in units of the cell vectors:
Pb  0.897  0.638  0.277
Tb  0.500  0.750  0.000
Pb  0.380  0.138  0.277
Tb  0.080  0.829  0.658
Tb  0.500  0.250  0.000
Tb  0.422  0.671  0.342
Pb  0.620  0.862  0.723
Pb  0.103  0.362  0.723
Sc  0.000  0.250  0.000
Tb  0.920  0.171  0.342
Tb  0.578  0.329  0.658
Sc  0.000  0.750  0.000

Its crystal system is orthorhombic. The total magnetization comes out at 0.0 μB/cell. As for the space group: Ibam (72).

---

Number 1: formation energy from the elements -0.244 eV per atom. Number 2: formation energy from the elements -0.430 eV per atom.